Here is a geometry-optimized La2In8Pd structure from Alexandria. Energies are from PBE.

Structure (extended XYZ):
```
11
Lattice="4.776 0.000 0.000 0.000 4.776 0.000 0.000 0.000 12.476" Properties=species:S:1:pos:R:3 pbc="T T T"
La 0.000 0.000 2.410
La 0.000 0.000 10.065
In 0.000 2.388 0.000
In 0.000 2.388 4.723
In 0.000 2.388 7.752
In 2.388 0.000 0.000
In 2.388 0.000 4.723
In 2.388 0.000 7.752
In 2.388 2.388 2.379
In 2.388 2.388 10.097
Pd 0.000 0.000 6.238
```

Calculated values
As for the energy of formation from the pure elements: -0.471 eV per atom. The calculation puts the total energy at -3.8304 eV/atom. As for the space-group type: No. 123. For the calculated density, the calculation gives 7.60 g cm⁻³.